Record 1
Here is Pm7Pb4O after structural relaxation from Alexandria via LeMat-Bulk. Energies are from PBE-GGA.

```
data_Pm7Pb4O
_chemical_formula_sum 'Pm14 Pb8 O2'
_symmetry_space_group_name_H-M 'C 1 2/m 1'
_symmetry_Int_Tables_number 12
_cell_length_a 16.958
_cell_length_b 5.185
_cell_length_c 11.288
_cell_angle_alpha 90.00
_cell_angle_beta 128.60
_cell_angle_gamma 90.00
loop_
_symmetry_equiv_pos_as_xyz
'x,y,z'
'-x,-y,-z'
'-x,y,-z'
'x,-y,z'
'x+1/2,y+1/2,z'
'-x+1/2,-y+1/2,-z'
'-x+1/2,y+1/2,-z'
'x+1/2,-y+1/2,z'
loop_
_atom_site_label
_atom_site_fract_x
_atom_site_fract_y
_atom_site_fract_z
Pm1 0.000 0.000 0.000
Pm2 0.067 0.500 0.247
Pm3 0.136 0.000 0.546
Pm4 0.211 0.500 0.856
Pb1 0.079 0.000 0.789
Pb2 0.221 0.000 0.345
O1 0.000 0.500 0.000
```

Mass density (Mg/m³): 7.96
Crystal system: monoclinic
Formation energy without anion corrections (eV per atom): -0.74

=====

Record 2
Here is LaNdPN after structural relaxation from Alexandria via LeMat-Bulk. Energies are from PBE-GGA.

```
data_LaNdPN
_chemical_formula_sum 'La2 Nd2 P2 N2'
_symmetry_space_group_name_H-M 'P 63 m c'
_symmetry_Int_Tables_number 186
_symmetry_space_group_name_Hall 'P 6c -2c'
_cell_length_a 4.0891
_cell_length_b 4.0891
_cell_length_c 13.5194
_cell_angle_alpha 90.00
_cell_angle_beta 90.00
_cell_angle_gamma 120.00
loop_
_atom_site_label
_atom_site_fract_x
_atom_site_fract_y
_atom_site_fract_z
La1 0.0000 0.0000 0.0000
Nd1 0.3333 0.6667 0.2609
P1 0.3333 0.6667 0.6162
N1 0.0000 0.0000 0.3319
```

Mass density (Mg/m³): 5.57
Crystal system: hexagonal
Formation energy without anion corrections (eV per atom): -1.24

=====

Record 3
Here is Ir2RhCl after structural relaxation from Alexandria via LeMat-Bulk. Energies are from PBE-GGA.

```
data_Ir2RhCl
_chemical_formula_sum 'Ir4 Rh2 Cl2'
_symmetry_space_group_name_H-M 'C m m 2'
_symmetry_Int_Tables_number 35
_cell_length_a 2.734
_cell_length_b 4.938
_cell_length_c 8.996
_cell_angle_alpha 90.00
_cell_angle_beta 90.00
_cell_angle_gamma 90.00
loop_
_symmetry_equiv_pos_as_xyz
'x,y,z'
'-x,-y,z'
'-x,y,z'
'x,-y,z'
'x+1/2,y+1/2,z'
'-x+1/2,-y+1/2,z'
'-x+1/2,y+1/2,z'
'x+1/2,-y+1/2,z'
loop_
_atom_site_label
_atom_site_fract_x
_atom_site_fract_y
_atom_site_fract_z
Ir1 0.000 0.000 0.000
Ir2 0.000 0.500 0.253
Rh1 0.000 0.000 0.508
Cl1 0.000 0.500 0.748
```

Energy above the lowest structure with this stoichiometry (meV per atom): 147
Mass density (Mg/m³): 14.30
Crystal system: orthorhombic
Formation energy without anion corrections (eV per atom): 0.52

=====

Record 4
Here is KCrPb2 after structural relaxation from Alexandria via LeMat-Bulk. Energies are from PBE-GGA.

```
data_KCrPb2
_chemical_formula_sum 'K3 Cr3 Pb6'
_symmetry_space_group_name_H-M 'R -3 m'
_symmetry_Int_Tables_number 166
_symmetry_space_group_name_Hall '-R 3 2"'
_cell_length_a 3.5683
_cell_length_b 3.5683
_cell_length_c 31.2532
_cell_angle_alpha 90.00
_cell_angle_beta 90.00
_cell_angle_gamma 120.00
loop_
_atom_site_label
_atom_site_fract_x
_atom_site_fract_y
_atom_site_fract_z
K1 0.0000 0.0000 0.0000
Cr1 0.0000 0.0000 0.5000
Pb1 0.0000 0.0000 0.2371
```

Calculated formation energy (eV/f.u.): 1.311
Energy above the lowest structure with this stoichiometry (meV per atom): 150
Mass density (Mg/m³): 7.31
Crystal system: trigonal

=====

Record 5
Here is KPW2 after structural relaxation from Alexandria via LeMat-Bulk. Energies are from PBE-GGA.

```
data_KPW2
_chemical_formula_sum 'K3 P3 W6'
_symmetry_space_group_name_H-M 'R 3 m'
_symmetry_Int_Tables_number 160
_symmetry_space_group_name_Hall 'R 3 -2"'
_cell_length_a 3.0743
_cell_length_b 3.0743
_cell_length_c 28.5621
_cell_angle_alpha 90.00
_cell_angle_beta 90.00
_cell_angle_gamma 120.00
loop_
_atom_site_label
_atom_site_fract_x
_atom_site_fract_y
_atom_site_fract_z
K1 0.0000 0.0000 0.0000
P1 0.0000 0.0000 0.7587
W1 0.0000 0.0000 0.2238
W2 0.0000 0.0000 0.4849
```

Calculated formation energy (eV/f.u.): 1.919
Energy above the lowest structure with this stoichiometry (meV per atom): 55
Mass density (Mg/m³): 9.33
Crystal system: trigonal

=====

Record 6
Here is Rb3Nd3TaSe8 after structural relaxation from Alexandria via LeMat-Bulk. Energies are from PBE-GGA.

```
data_Rb3Nd3TaSe8
_chemical_formula_sum 'Rb9 Nd9 Ta3 Se24'
_symmetry_space_group_name_H-M 'R -3 m'
_symmetry_Int_Tables_number 166
_symmetry_space_group_name_Hall '-R 3 2"'
_cell_length_a 8.4198
_cell_length_b 8.4198
_cell_length_c 24.6615
_cell_angle_alpha 90.00
_cell_angle_beta 90.00
_cell_angle_gamma 120.00
loop_
_atom_site_label
_atom_site_fract_x
_atom_site_fract_y
_atom_site_fract_z
Rb1 0.0000 0.5000 0.0000
Nd1 0.0000 0.5000 0.5000
Ta1 0.0000 0.0000 0.5000
Se1 0.0000 0.0000 0.2348
Se2 0.0324 0.5162 0.2290
```

Mass density (Mg/m³): 4.94
Crystal system: trigonal
Formation energy without anion corrections (eV per atom): -1.47